(1)
Compound: Sr2La2Sb
Source: Alexandria via LeMat-Bulk
Functional: PBE-GGA
Structure: relaxed

Summary:
As for the total energy: -3.71 eV/atom. The formation energy from raw total energies is -5.550 kcal/mol of atoms. As for the size of the total moment: 2.36 μB per cell. The symmetry is No. 127.

POSCAR file:
```
Sr2La2Sb
1.0
8.3058 0.0000 0.0000
0.0000 8.3058 0.0000
0.0000 0.0000 6.1020
Sb Sr La
2 4 4
Cartesian
0.0000 0.0000 0.0000
4.1529 4.1529 0.0000
1.3976 5.5505 3.0510
5.5505 6.9083 3.0510
6.9083 2.7554 3.0510
2.7554 1.3976 3.0510
2.9874 7.1403 0.0000
7.1403 5.3185 0.0000
5.3185 1.1655 0.0000
1.1655 2.9874 0.0000
```

=====

(2)
Compound: CaHoLu4
Source: Alexandria via LeMat-Bulk
Functional: PBE-GGA
Structure: relaxed

Summary:
As for the total energy: -3.88 eV/atom. As for the energy of formation: 0.2352 eV per atom. As for the size of the total moment: 0.00 μB per cell. The symmetry is No. 216.

POSCAR file:
```
CaHoLu4
1.0
-1.7698 0.1563 6.2887
4.3141 -1.5759 4.6486
2.3827 4.6279 3.9509
Ca Lu Ho
1 4 1
Cartesian
1.2317 0.8021 3.7220
1.8821 -0.3283 7.3285
0.9066 2.8053 6.9761
3.0857 2.0093 9.3241
3.9796 1.9304 6.1477
0.0000 0.0000 0.0000
```

=====

(3)
Compound: BaAlGa2Se6
Source: Alexandria via LeMat-Bulk
Functional: PBE-GGA
Structure: relaxed

Summary:
As for the total energy: -4.08 eV/atom. The formation energy from raw total energies is -18.906 kcal/mol of atoms. As for the size of the total moment: 2.06 μB per cell. The symmetry is No. 15.

POSCAR file:
```
BaAlGa2Se6
1.0
8.0935 0.4340 0.4504
3.1136 8.9458 0.1455
3.1136 -0.1861 8.9450
Ba Al Ga Se
2 2 4 12
Cartesian
5.1370 7.5050 1.7510
9.1838 1.6887 7.7899
5.1370 1.4681 7.5681
9.1838 7.7255 1.9728
7.4791 6.8617 5.7823
2.7949 3.4526 2.2444
6.8417 2.3319 3.7586
11.5258 5.7410 7.2965
6.9566 8.3185 7.6687
3.3174 1.6215 0.7188
7.3641 0.8752 1.8722
11.0034 7.5721 8.8222
7.6041 8.1023 3.7251
2.6699 5.5544 1.0809
6.7167 1.0914 5.8159
11.6508 3.6392 8.4600
5.0684 6.0737 5.1992
5.2055 4.0061 3.0535
9.2523 3.1200 4.3417
9.1152 5.1876 6.4874
```

=====

(4)
Compound: HoTeS3
Source: Alexandria via LeMat-Bulk
Functional: PBE-GGA
Structure: relaxed

Summary:
As for the total energy: -4.91 eV/atom. The formation energy from raw total energies is -20.511 kcal/mol of atoms. As for the size of the total moment: 0.00 μB per cell. The symmetry is No. 12.

POSCAR file:
```
HoTeS3
1.0
3.9388 0.0000 0.0000
0.0000 7.4372 0.5432
-1.9694 -0.9620 8.0915
Ho Te S
2 2 6
Cartesian
1.9694 5.1775 4.9694
0.0000 1.2978 3.6653
1.9694 4.9558 1.1590
0.0000 1.5195 7.4757
1.9694 4.9583 7.9095
0.0000 1.5170 0.7252
0.0000 6.6211 6.0219
1.9694 -0.1458 2.6128
0.0000 4.0843 3.1655
1.9694 2.3910 5.4692
```

=====

| no. | density of states at the Fermi level (states/eV/f.u.) |
| --- | --- |
| 1 | 4.97 |
| 2 | 10.68 |
| 3 | 0.70 |
| 4 | 0.42 |